# RbSnBi3 PBE optimized geometry
# Uncorrected energy   -3.400 eV per atom
# Offset from the most stable computed form   0.000 eV/atom
# Calculated volume   401.65 Å³/cell
# Energy of formation   -0.08 eV per atom
data_RbSnBi3
_symmetry_space_group_name_H-M 'P m n 21'
_symmetry_Int_Tables_number 31
_cell_length_a 7.833
_cell_length_b 9.885
_cell_length_c 5.187
_cell_angle_alpha 90.00
_cell_angle_beta 90.00
_cell_angle_gamma 90.00
loop_
_symmetry_equiv_pos_as_xyz
'x,y,z'
'-x+1/2,-y,z+1/2'
'-x,y,z'
'x+1/2,-y,z+1/2'
loop_
_atom_site_label
_atom_site_fract_x
_atom_site_fract_y
_atom_site_fract_z
Rb1 0.000 0.061 0.000
Sn1 0.000 0.496 0.197
Bi1 0.000 0.749 0.550
Bi2 0.230 0.300 0.491


# Na3BeAg4F8 PBE optimized geometry
# Uncorrected energy   -3.972 eV per atom
# Energy relative to the elements, uncorrected   -2846 kJ/mol of formula units
# Calculated volume   424.40 Å³/cell
data_Na3BeAg4F8
_symmetry_space_group_name_H-M 'C 1 2/m 1'
_symmetry_Int_Tables_number 12
_cell_length_a 10.990
_cell_length_b 6.346
_cell_length_c 7.115
_cell_angle_alpha 90.00
_cell_angle_beta 121.22
_cell_angle_gamma 90.00
loop_
_symmetry_equiv_pos_as_xyz
'x,y,z'
'-x,-y,-z'
'-x,y,-z'
'x,-y,z'
'x+1/2,y+1/2,z'
'-x+1/2,-y+1/2,-z'
'-x+1/2,y+1/2,-z'
'x+1/2,-y+1/2,z'
loop_
_atom_site_label
_atom_site_fract_x
_atom_site_fract_y
_atom_site_fract_z
Na1 0.000 0.000 0.000
Na2 0.250 0.250 0.000
Be1 0.000 0.500 0.000
Ag1 0.000 0.000 0.500
Ag2 0.000 0.500 0.500
Ag3 0.250 0.250 0.500
F1 0.010 0.298 0.827
F2 0.193 0.500 0.173
F3 0.241 0.000 0.221


# K3DyY2Te6 PBE optimized geometry
# Uncorrected energy   -4.714 eV per atom
# Energy relative to the elements, uncorrected   -1630 kJ/mol of formula units
# Calculated volume   866.56 Å³/cell
data_K3DyY2Te6
_symmetry_space_group_name_H-M 'C 1 2/m 1'
_symmetry_Int_Tables_number 12
_cell_length_a 7.790
_cell_length_b 13.493
_cell_length_c 8.644
_cell_angle_alpha 90.00
_cell_angle_beta 107.48
_cell_angle_gamma 90.00
loop_
_symmetry_equiv_pos_as_xyz
'x,y,z'
'-x,-y,-z'
'-x,y,-z'
'x,-y,z'
'x+1/2,y+1/2,z'
'-x+1/2,-y+1/2,-z'
'-x+1/2,y+1/2,-z'
'x+1/2,-y+1/2,z'
loop_
_atom_site_label
_atom_site_fract_x
_atom_site_fract_y
_atom_site_fract_z
K1 0.000 0.000 0.000
K2 0.000 0.333 0.000
Dy1 0.000 0.500 0.500
Y1 0.000 0.167 0.500
Te1 0.236 0.334 0.709
Te2 0.237 0.000 0.709